# 1
Zr4InSN2: relaxed, GGA-PBE.

The total energy comes out at -8.55 eV/atom. The theoretical density is 6.87 g/cm³.

Cell: 3.3493 3.3493 13.4304 Å, 90.00 90.00 120.00°
Space group P-6m2 (No. 187)
Symmetry-distinct sites (fractional):
Zr: 0.0000 0.0000 0.1350 (multiplicity 2)
Zr: 0.3333 0.6667 0.3170 (multiplicity 2)
In: 0.0000 0.0000 0.5000 (multiplicity 1)
S: 0.3333 0.6667 0.0000 (multiplicity 1)
N: 0.6667 0.3333 0.2299 (multiplicity 2)



# 2
Nb2TcPt: relaxed, GGA-PBE.

Its formation energy from the elements is -0.100 eV/atom. The theoretical density is 12.06 g/cm³.

Cell: 6.4134 6.4134 6.4134 Å, 90.00 90.00 90.00°
Space group F-43m (No. 216)
Symmetry-distinct sites (fractional):
Nb: 0.0000 0.0000 0.0000 (multiplicity 4)
Nb: 0.2500 0.2500 0.2500 (multiplicity 4)
Tc: 0.0000 0.0000 0.5000 (multiplicity 4)
Pt: 0.2500 0.2500 0.7500 (multiplicity 4)



Among the records above, which one has the highest theoretical density? Nb2TcPt



Among the records above, which one has the highest theoretical density? Nb2TcPt